Entry from the Alexandria database: crystalline AgSbAs2 at its relaxed geometry (GGA-PBEsol).

POSCAR file:
```
AgSbAs2
1.0
5.363 -1.836 0.000
5.363 1.836 0.000
-1.065 0.000 4.394
Ag Sb As
1 1 2
Direct
0.000 0.000 0.000
0.500 0.500 0.500
0.215 0.215 0.800
0.785 0.785 0.200
```

formation energy from raw total energies	0.22	eV/atom
E_tot	-4.305	eV per atom
magnetization	0.00	μB per formula unit
density of states at the Fermi level	0.433	states/eV/atom
E above lowest polymorph	59	meV per atom